DFT (SCAN) results for a crystal of AlCrOs2 relaxed with PBEsol.

a b c (Å): 2.944 4.219 4.219
angles (deg): 90.00 90.00 90.00
Each line ends with the local moment (μB).
Atoms (fractional coordinates):
Cr1 0.500 0.000 0.000  1.61
Os1 0.000 0.000 0.500  -0.18
Os2 0.000 0.500 0.000  -0.18
Al1 0.500 0.500 0.500  0.00

## Properties
The calculated total energy comes out at -42.827 eV per atom. The symmetry is P4/mmm, No. 123.

DFT (SCAN) results for a crystal of AlCrP2 relaxed with PBEsol.

a b c (Å): 2.863 2.863 6.306
angles (deg): 90.00 90.00 90.00
Atoms (fractional coordinates):
Cr1 0.500 0.500 0.500
Al1 0.500 0.500 0.000
P1 0.000 0.000 0.708
P2 0.000 0.000 0.292

## Properties
The calculated total energy comes out at -11.771 eV per atom. The symmetry is P4/mmm, No. 123.

DFT (SCAN) results for a crystal of Al2CrP relaxed with PBEsol.

a b c (Å): 3.632 3.632 4.787
angles (deg): 112.29 112.29 90.00
Each line ends with the local moment (μB).
Atoms (fractional coordinates):
Cr1 0.500 0.500 0.000  2.76
Al1 0.750 0.250 0.500  -0.05
Al2 0.250 0.750 0.500  -0.05
P1 0.000 0.000 0.000  -0.01

## Properties
The calculated total energy comes out at -11.170 eV per atom. The symmetry is I4/mmm, No. 139.

Number 1: total moment 1.26 μB per cell, volume 13.100 A^3/atom. Number 2: total moment 0.00 μB per cell, volume 12.919 A^3/atom. Number 3: total moment 2.67 μB per cell, volume 13.319 A^3/atom.